Record 1
The following is a PBE-GGA calculation of a geometry-optimized CsCeSm2 structure, from Alexandria via LeMat-Bulk.

E = -39.59 eV per cell
energy of formation = 0.76 eV per atom

a b c (Å): 4.3124 4.3124 32.0222
angles (deg): 90.00 90.00 120.00
Space group R-3m (No. 166, hexagonal axes)
Symmetry-distinct sites (fractional):
Cs 0.0000 0.0000 0.0000
Ce 0.0000 0.0000 0.5000
Sm 0.0000 0.0000 0.1191

***

Record 2
The following is a PBE-GGA calculation of a geometry-optimized AcAuS3 structure, from Alexandria via LeMat-Bulk.

E = -192.53 eV per cell
formation energy from raw total energies = -0.8596 eV per atom

a b c (Å): 8.977 15.124 7.650
angles (deg): 90.00 90.00 90.00
Space group Cmce (No. 64)
Symmetry-distinct sites (fractional):
Ac 0.000 0.180 0.131
Au 0.250 0.133 0.750
S 0.000 0.024 0.875
S 0.172 0.153 0.463

***

| no. | DOS(E_F) (states/eV/atom) |
| --- | --- |
| 1 | 1.842 |
| 2 | 0.705 |